! ThTaMnGe2, optimized geometry, DFT PBE; values from VASP
! ΔE_f: -0.42 eV per atom
! Space group: I-4m2
&SYSTEM
  ibrav = 0, nat = 5, ntyp = 4
/
ATOMIC_SPECIES
Th 232.04 Th.upf
Ta 180.95 Ta.upf
Mn 54.94 Mn.upf
Ge 72.64 Ge.upf
CELL_PARAMETERS angstrom
-2.037 2.037 5.847
2.037 -2.037 5.847
2.037 2.037 -5.847
ATOMIC_POSITIONS crystal
Th 0.000 0.000 0.000
Ta 0.750 0.250 0.500
Mn 0.250 0.750 0.500
Ge 0.388 0.388 0.000
Ge 0.612 0.612 0.000


! TbMn5Ge6, optimized geometry, DFT PBE; values from VASP
! ΔE_f: -0.09 eV per atom
! Space group: C2/m
&SYSTEM
  ibrav = 0, nat = 12, ntyp = 3
/
ATOMIC_SPECIES
Tb 158.93 Tb.upf
Mn 54.94 Mn.upf
Ge 72.64 Ge.upf
CELL_PARAMETERS angstrom
2.765 -5.798 0.000
2.765 5.798 0.000
-2.559 0.000 6.127
ATOMIC_POSITIONS crystal
Tb 0.000 0.000 0.000
Mn 0.000 0.000 0.500
Mn 0.309 0.691 0.000
Mn 0.379 0.621 0.500
Mn 0.621 0.379 0.500
Mn 0.691 0.309 0.000
Ge 0.180 0.809 0.299
Ge 0.191 0.820 0.701
Ge 0.436 0.436 0.789
Ge 0.564 0.564 0.211
Ge 0.809 0.180 0.299
Ge 0.820 0.191 0.701


! Tb4MnGe8, optimized geometry, DFT PBE; values from VASP
! ΔE_f: -0.58 eV per atom
! Space group: Pmm2
&SYSTEM
  ibrav = 0, nat = 13, ntyp = 3
/
ATOMIC_SPECIES
Tb 158.93 Tb.upf
Mn 54.94 Mn.upf
Ge 72.64 Ge.upf
CELL_PARAMETERS angstrom
4.021 0.000 0.000
0.000 4.185 0.000
0.000 0.000 16.093
ATOMIC_POSITIONS crystal
Tb 0.000 0.000 0.000
Tb 0.000 0.500 0.492
Tb 0.500 0.000 0.789
Tb 0.500 0.500 0.288
Mn 0.000 0.500 0.704
Ge 0.000 0.000 0.335
Ge 0.000 0.000 0.632
Ge 0.000 0.500 0.141
Ge 0.000 0.500 0.853
Ge 0.500 0.000 0.147
Ge 0.500 0.000 0.441
Ge 0.500 0.500 0.626
Ge 0.500 0.500 0.957


! TbMnGe, optimized geometry, DFT PBE; values from VASP
! ΔE_f: -0.49 eV per atom
! Space group: Pnma
&SYSTEM
  ibrav = 0, nat = 12, ntyp = 3
/
ATOMIC_SPECIES
Tb 158.93 Tb.upf
Mn 54.94 Mn.upf
Ge 72.64 Ge.upf
CELL_PARAMETERS angstrom
7.119 0.000 0.000
0.000 4.139 0.000
0.000 0.000 7.876
ATOMIC_POSITIONS crystal
Tb 0.019 0.250 0.183
Tb 0.481 0.750 0.683
Tb 0.519 0.250 0.317
Tb 0.981 0.750 0.817
Mn 0.133 0.250 0.555
Mn 0.367 0.750 0.055
Mn 0.633 0.250 0.945
Mn 0.867 0.750 0.445
Ge 0.222 0.750 0.383
Ge 0.278 0.250 0.883
Ge 0.722 0.750 0.117
Ge 0.778 0.250 0.617


! TbMnGe, optimized geometry, DFT PBE; values from VASP
! ΔE_f: -0.48 eV per atom
! Space group: I4/mmm
&SYSTEM
  ibrav = 0, nat = 6, ntyp = 3
/
ATOMIC_SPECIES
Tb 158.93 Tb.upf
Mn 54.94 Mn.upf
Ge 72.64 Ge.upf
CELL_PARAMETERS angstrom
-1.987 1.987 7.326
1.987 -1.987 7.326
1.987 1.987 -7.326
ATOMIC_POSITIONS crystal
Tb 0.165 0.165 0.000
Tb 0.835 0.835 0.000
Mn 0.000 0.500 0.500
Mn 0.500 0.000 0.500
Ge 0.391 0.391 0.000
Ge 0.609 0.609 0.000


! Tb2Mn3Ge4, optimized geometry, DFT PBE; values from VASP
! ΔE_f: -0.44 eV per atom
! Space group: Cmce
&SYSTEM
  ibrav = 0, nat = 18, ntyp = 3
/
ATOMIC_SPECIES
Tb 158.93 Tb.upf
Mn 54.94 Mn.upf
Ge 72.64 Ge.upf
CELL_PARAMETERS angstrom
2.834 -7.469 0.000
2.834 7.469 0.000
0.000 0.000 7.476
ATOMIC_POSITIONS crystal
Tb 0.112 0.888 0.911
Tb 0.388 0.612 0.411
Tb 0.612 0.388 0.589
Tb 0.888 0.112 0.089
Mn 0.000 0.000 0.500
Mn 0.035 0.465 0.750
Mn 0.465 0.035 0.250
Mn 0.500 0.500 0.000
Mn 0.535 0.965 0.750
Mn 0.965 0.535 0.250
Ge 0.187 0.813 0.540
Ge 0.200 0.300 0.750
Ge 0.300 0.200 0.250
Ge 0.313 0.687 0.040
Ge 0.687 0.313 0.960
Ge 0.700 0.800 0.750
Ge 0.800 0.700 0.250
Ge 0.813 0.187 0.460


! TbMn2Ge2, optimized geometry, DFT PBE; values from VASP
! ΔE_f: -0.48 eV per atom
! Space group: I4/mmm
&SYSTEM
  ibrav = 0, nat = 5, ntyp = 3
/
ATOMIC_SPECIES
Tb 158.93 Tb.upf
Mn 54.94 Mn.upf
Ge 72.64 Ge.upf
CELL_PARAMETERS angstrom
-1.971 1.971 5.424
1.971 -1.971 5.424
1.971 1.971 -5.424
ATOMIC_POSITIONS crystal
Tb 0.000 0.000 0.000
Mn 0.250 0.750 0.500
Mn 0.750 0.250 0.500
Ge 0.380 0.380 0.000
Ge 0.620 0.620 0.000


! TbMn5Ge3, optimized geometry, DFT PBE; values from VASP
! ΔE_f: -0.20 eV per atom
! Space group: Cmcm
&SYSTEM
  ibrav = 0, nat = 18, ntyp = 3
/
ATOMIC_SPECIES
Tb 158.93 Tb.upf
Mn 54.94 Mn.upf
Ge 72.64 Ge.upf
CELL_PARAMETERS angstrom
1.936 -6.190 0.000
1.936 6.190 0.000
0.000 0.000 11.596
ATOMIC_POSITIONS crystal
Tb 0.169 0.831 0.750
Tb 0.831 0.169 0.250
Mn 0.000 0.000 0.000
Mn 0.000 0.000 0.500
Mn 0.192 0.808 0.049
Mn 0.192 0.808 0.451
Mn 0.431 0.569 0.637
Mn 0.431 0.569 0.863
Mn 0.569 0.431 0.137
Mn 0.569 0.431 0.363
Mn 0.808 0.192 0.549
Mn 0.808 0.192 0.951
Ge 0.124 0.876 0.250
Ge 0.384 0.616 0.068
Ge 0.384 0.616 0.432
Ge 0.616 0.384 0.568
Ge 0.616 0.384 0.932
Ge 0.876 0.124 0.750


! TbTiMnGe2, optimized geometry, DFT PBE; values from VASP
! ΔE_f: -0.60 eV per atom
! Space group: I-4m2
&SYSTEM
  ibrav = 0, nat = 5, ntyp = 4
/
ATOMIC_SPECIES
Tb 158.93 Tb.upf
Ti 47.87 Ti.upf
Mn 54.94 Mn.upf
Ge 72.64 Ge.upf
CELL_PARAMETERS angstrom
-1.993 1.993 5.682
1.993 -1.993 5.682
1.993 1.993 -5.682
ATOMIC_POSITIONS crystal
Tb 0.000 0.000 0.000
Ti 0.250 0.750 0.500
Mn 0.750 0.250 0.500
Ge 0.389 0.389 0.000
Ge 0.611 0.611 0.000


! Mn5TcGe6, optimized geometry, DFT PBE; values from VASP
! ΔE_f: 0.09 eV per atom
! Space group: C2/m
&SYSTEM
  ibrav = 0, nat = 12, ntyp = 3
/
ATOMIC_SPECIES
Mn 54.94 Mn.upf
Tc 98.00 Tc.upf
Ge 72.64 Ge.upf
CELL_PARAMETERS angstrom
2.443 -4.368 0.000
2.443 4.368 0.000
-1.492 0.000 7.999
ATOMIC_POSITIONS crystal
Mn 0.000 0.000 0.000
Mn 0.170 0.830 0.500
Mn 0.332 0.668 0.000
Mn 0.668 0.332 0.000
Mn 0.830 0.170 0.500
Tc 0.500 0.500 0.500
Ge 0.083 0.413 0.248
Ge 0.250 0.250 0.754
Ge 0.413 0.083 0.248
Ge 0.587 0.917 0.752
Ge 0.750 0.750 0.246
Ge 0.917 0.587 0.752


! MnTcGe3, optimized geometry, DFT PBE; values from VASP
! ΔE_f: 0.59 eV per atom
! Space group: Pm-3m
&SYSTEM
  ibrav = 0, nat = 5, ntyp = 3
/
ATOMIC_SPECIES
Mn 54.94 Mn.upf
Tc 98.00 Tc.upf
Ge 72.64 Ge.upf
CELL_PARAMETERS angstrom
4.815 0.000 0.000
0.000 4.815 0.000
0.000 0.000 4.815
ATOMIC_POSITIONS crystal
Mn 0.000 0.000 0.000
Tc 0.500 0.500 0.500
Ge 0.000 0.500 0.500
Ge 0.500 0.000 0.500
Ge 0.500 0.500 0.000


! MnTcGe3, optimized geometry, DFT PBE; values from VASP
! ΔE_f: 0.06 eV per atom
! Space group: C2/c
&SYSTEM
  ibrav = 0, nat = 20, ntyp = 3
/
ATOMIC_SPECIES
Mn 54.94 Mn.upf
Tc 98.00 Tc.upf
Ge 72.64 Ge.upf
CELL_PARAMETERS angstrom
6.423 -6.218 0.000
6.423 6.218 0.000
-1.330 0.000 4.076
ATOMIC_POSITIONS crystal
Mn 0.082 0.918 0.750
Mn 0.222 0.778 0.250
Mn 0.778 0.222 0.750
Mn 0.918 0.082 0.250
Tc 0.198 0.349 0.539
Tc 0.349 0.198 0.039
Tc 0.651 0.802 0.961
Tc 0.802 0.651 0.461
Ge 0.059 0.229 0.907
Ge 0.104 0.622 0.614
Ge 0.229 0.059 0.407
Ge 0.297 0.492 0.148
Ge 0.378 0.896 0.886
Ge 0.492 0.297 0.648
Ge 0.508 0.703 0.352
Ge 0.622 0.104 0.114
Ge 0.703 0.508 0.852
Ge 0.771 0.941 0.593
Ge 0.896 0.378 0.386
Ge 0.941 0.771 0.093


- Which formula does entry 3 have?
  Tb4MnGe8


- Among the records above, which one has the highest ΔE_f?
  number 11


- Which of these has the highest ΔE_f?
  number 11


- Which value of ΔE_f does entry 9 give?
  -0.60 eV per atom